# 1
A plane-wave DFT calculation with PBE-GGA was carried out for a relaxed structure of TcCI2O.

The space group is P4/mmm (No. 123) and the conventional cell measures 5.061, 5.061 and 3.217 Å, with angles of 90.00, 90.00 and 90.00 degrees. The asymmetric unit holds Tc at (0.000, 0.000, 0.000), C at (0.500, 0.500, 0.500), I at (0.000, 0.500, 0.500) and O at (0.500, 0.500, 0.000).

The value obtained for the energy above the most stable polymorph in this dataset is 352 meV per atom. For the magnetization, the calculation gives 0.30 μB per cell. The formation energy from raw total energies comes out at 1432 meV/atom. The value obtained for the density of states at the Fermi level is 4.27 states/eV per cell.

# 2
A plane-wave DFT calculation with PBE-GGA was carried out for a relaxed structure of TaP2SF.

The space group is P4/mmm (No. 123) and the conventional cell measures 3.944, 3.944 and 4.954 Å, with angles of 90.00, 90.00 and 90.00 degrees. The asymmetric unit holds Ta at (0.000, 0.000, 0.000), P at (0.000, 0.500, 0.500), S at (0.500, 0.500, 0.000) and F at (0.500, 0.500, 0.500).

The value obtained for the energy above the most stable polymorph in this dataset is 500 meV per atom. For the magnetization, the calculation gives 0.00 μB per cell. The formation energy from raw total energies comes out at 535 meV/atom. The value obtained for the density of states at the Fermi level is 2.28 states/eV per cell.

# 3
A plane-wave DFT calculation with PBE-GGA was carried out for a relaxed structure of BePt.

The space group is P6_3/mmc (No. 194) and the conventional cell measures 4.3482, 4.3482 and 6.7351 Å, with angles of 90.00, 90.00 and 120.00 degrees. The asymmetric unit holds Be at (0.3333, 0.6667, 0.0923), Pt at (0.0000, 0.0000, 0.2500) and Pt at (0.3333, 0.6667, 0.7500).

For the magnetization, the calculation gives 0.00 μB per cell. The value obtained for the density of states at the Fermi level is 5.64 states/eV per cell. The energy of formation from the pure elements is 0.0243 eV per atom.

# 4
A plane-wave DFT calculation with PBE-GGA was carried out for a relaxed structure of ErThNi2P2.

The space group is P-3m1 (No. 164) and the conventional cell measures 3.9332, 3.9332 and 7.8211 Å, with angles of 90.00, 90.00 and 120.00 degrees. The asymmetric unit holds Er at (0.0000, 0.0000, 0.0000), Th at (0.0000, 0.0000, 0.5000), Ni at (0.3333, 0.6667, 0.2521) and P at (0.3333, 0.6667, 0.7651).

For the magnetization, the calculation gives 0.00 μB per cell. The value obtained for the density of states at the Fermi level is 2.58 states/eV per cell. The energy of formation from the pure elements is -1.2266 eV per atom.

# 5
A plane-wave DFT calculation with PBE-GGA was carried out for a relaxed structure of TbZn2Ag2.

The space group is P-1 (No. 2) and the conventional cell measures 4.797, 5.063 and 9.315 Å, with angles of 77.25, 89.94 and 61.74 degrees. The asymmetric unit holds Tb at (0.174, 0.153, 0.249), Zn at (0.434, 0.632, 0.598), Zn at (0.467, 0.569, 0.123), Ag at (0.138, 0.223, 0.597) and Ag at (0.194, 0.110, 0.911).

The value obtained for the energy above the most stable polymorph in this dataset is 2 meV per atom. For the magnetization, the calculation gives 0.00 μB per cell. The value obtained for the density of states at the Fermi level is 2.98 states/eV per cell. The energy of formation from the pure elements is -0.2298 eV per atom.

# 6
A plane-wave DFT calculation with PBE-GGA was carried out for a relaxed structure of LaGeW2Br.

The space group is P4/mmm (No. 123) and the conventional cell measures 5.035, 5.035 and 5.670 Å, with angles of 90.00, 90.00 and 90.00 degrees. The asymmetric unit holds La at (0.000, 0.000, 0.000), Ge at (0.000, 0.000, 0.500), W at (0.000, 0.500, 0.000) and Br at (0.500, 0.500, 0.500).

For the magnetization, the calculation gives 0.00 μB per cell. The formation energy from raw total energies comes out at 2576 meV/atom. The value obtained for the density of states at the Fermi level is 7.07 states/eV per cell.

# 7
A plane-wave DFT calculation with PBE-GGA was carried out for a relaxed structure of Sr2Al4Ga3Pt.

The space group is P-4m2 (No. 115) and the conventional cell measures 4.376, 4.376 and 10.996 Å, with angles of 90.00, 90.00 and 90.00 degrees. The asymmetric unit holds Sr at (0.000, 0.500, 0.246), Al at (0.000, 0.000, 0.500), Al at (0.000, 0.500, 0.878), Al at (0.500, 0.500, 0.500), Ga at (0.000, 0.000, 0.000), Ga at (0.000, 0.500, 0.639) and Pt at (0.500, 0.500, 0.000).

For the magnetization, the calculation gives 0.00 μB per cell. The value obtained for the density of states at the Fermi level is 4.11 states/eV per cell. The energy of formation from the pure elements is -0.5033 eV per atom.

# 8
A plane-wave DFT calculation with PBE-GGA was carried out for a relaxed structure of KBr2.

The space group is C2/m (No. 12) and the conventional cell measures 18.310, 4.733 and 5.545 Å, with angles of 90.00, 107.29 and 90.00 degrees. The asymmetric unit holds K at (0.130, 0.000, 0.133), Br at (0.000, 0.500, 0.251) and Br at (0.240, 0.000, 0.740).

The value obtained for the energy above the most stable polymorph in this dataset is 86 meV per atom. For the magnetization, the calculation gives 1.63 μB per cell. The formation energy from raw total energies comes out at -1071 meV/atom. The value obtained for the density of states at the Fermi level is 5.56 states/eV per cell.

# 9
A plane-wave DFT calculation with PBE-GGA was carried out for a relaxed structure of Zn2FeOs.

The space group is Cm (No. 8) and the conventional cell measures 8.849, 2.674 and 4.662 Å, with angles of 90.00, 99.95 and 90.00 degrees. The asymmetric unit holds Zn at (0.000, 0.000, 0.000), Zn at (0.243, 0.000, 0.764), Fe at (0.250, 0.500, 0.275) and Os at (0.491, 0.000, 0.490).

The value obtained for the energy above the most stable polymorph in this dataset is 113 meV per atom. For the magnetization, the calculation gives 4.98 μB per cell. The value obtained for the density of states at the Fermi level is 6.76 states/eV per cell. The energy of formation from the pure elements is 0.1743 eV per atom.

# 10
A plane-wave DFT calculation with PBE-GGA was carried out for a relaxed structure of Pu3PaBi4.

The space group is Cmmm (No. 65) and the conventional cell measures 9.039, 12.806 and 4.531 Å, with angles of 90.00, 90.00 and 90.00 degrees. The asymmetric unit holds Pu at (0.000, 0.000, 0.000), Pu at (0.250, 0.250, 0.500), Pa at (0.000, 0.500, 0.000), Bi at (0.000, 0.253, 0.000) and Bi at (0.245, 0.500, 0.500).

For the magnetization, the calculation gives 11.18 μB per cell. The value obtained for the density of states at the Fermi level is 100.44 states/eV per cell. The energy of formation from the pure elements is -0.2689 eV per atom.

# 11
A plane-wave DFT calculation with PBE-GGA was carried out for a relaxed structure of TbNi2Ge.

The space group is R-3m (No. 166, hexagonal axes) and the conventional cell measures 4.0921, 4.0921 and 13.9302 Å, with angles of 90.00, 90.00 and 120.00 degrees. The asymmetric unit holds Tb at (0.0000, 0.0000, 0.0000), Ni at (0.0000, 0.0000, 0.2016) and Ge at (0.0000, 0.0000, 0.5000).

For the magnetization, the calculation gives 0.00 μB per cell. The value obtained for the density of states at the Fermi level is 8.04 states/eV per cell. The energy of formation from the pure elements is -0.5707 eV per atom.

# 12
A plane-wave DFT calculation with PBE-GGA was carried out for a relaxed structure of La4Sm2Th.

The space group is R-3m (No. 166, hexagonal axes) and the conventional cell measures 3.6277, 3.6277 and 65.7424 Å, with angles of 90.00, 90.00 and 120.00 degrees. The asymmetric unit holds La at (0.0000, 0.0000, 0.1413), La at (0.0000, 0.0000, 0.2895), Sm at (0.0000, 0.0000, 0.2365) and Th at (0.0000, 0.0000, 0.0000).

The value obtained for the energy above the most stable polymorph in this dataset is 0 meV per atom. For the magnetization, the calculation gives 0.00 μB per cell. The value obtained for the density of states at the Fermi level is 28.76 states/eV per cell. The energy of formation from the pure elements is 0.0762 eV per atom.